Here is a relaxed structure of NdGa12Rh6 from Alexandria via LeMat-Bulk. Energies are from GGA-PBE.

## Properties
Space-group type   R-3m
Energy relative to the elements   -542.9 meV per atom

extended XYZ file:
```
19
Lattice="7.1746 -0.0375 -0.0528 -1.8148 6.9414 -0.0528 -1.8148 -2.3376 6.5361" Properties=species:S:1:pos:R:3 pbc="T T T"
Nd 0.0000 0.0000 0.0000
Ga 5.2357 -0.4055 3.2153
Ga 4.0538 2.7018 3.8049
Ga 1.6126 2.0772 5.5942
Ga 1.9324 -0.0307 2.6257
Ga 1.9324 2.4891 0.8364
Ga -0.5088 1.8645 2.6257
Ga -1.6907 1.3970 5.7537
Ga 1.7725 5.8579 0.6769
Ga -1.6907 4.9718 3.2153
Ga 5.2357 3.1693 0.6769
Ga 1.7725 -1.2916 5.7537
Ga 1.6126 4.5970 3.8049
Rh 4.0045 1.2406 1.7471
Rh 0.2092 0.2695 4.5290
Rh 0.2092 4.1871 1.7471
Rh 3.3358 4.2968 1.9016
Rh -0.4595 3.3257 4.6834
Rh 3.3358 0.3792 4.6834
```

Here is a relaxed structure of Nd3Ga2Rh from Alexandria via LeMat-Bulk. Energies are from GGA-PBE.

## Properties
Space-group type   Pnma
Energy relative to the elements   -623.5 meV per atom

extended XYZ file:
```
24
Lattice="-2.5128 3.1199 1.4048 -8.1565 -8.0579 3.3062 5.2333 -0.7621 11.0534" Properties=species:S:1:pos:R:3 pbc="T T T"
Nd -3.4377 -2.2624 2.0825
Nd -1.9982 -3.4377 13.6819
Nd -6.6264 -5.0438 8.9706
Nd 1.1904 -0.6562 6.7938
Nd -5.1780 -5.0828 5.2337
Nd -0.2580 -0.6173 10.5307
Nd -2.1531 0.4766 4.7116
Nd -3.2828 -6.1766 11.0528
Nd -2.2677 -3.1186 6.0771
Nd -3.1683 -2.5814 9.6873
Nd -9.0067 -5.3831 5.4665
Nd 3.5707 -0.3169 10.2979
Ga -3.7291 -5.1794 8.0399
Ga -1.7069 -0.5206 7.7245
Ga -3.4003 0.7725 1.8236
Ga -2.0357 -6.4725 13.9408
Ga -7.1563 -7.4960 7.0547
Ga 1.7203 1.7960 8.7097
Ga -4.9411 -1.8188 4.8226
Ga -0.4949 -3.8813 10.9418
Rh -0.9408 -0.2965 2.1828
Rh -4.4951 -5.4035 13.5816
Rh -5.0133 -2.9493 7.2042
Rh -0.4227 -2.7507 8.5601
```

Here is a relaxed structure of Nd2Ga6Rh from Alexandria via LeMat-Bulk. Energies are from GGA-PBE.

## Properties
Excess energy over the best structure of this formula in the dataset   72.2 meV/atom
Space-group type   P-3m1
Energy relative to the elements   -612.9 meV per atom

extended XYZ file:
```
9
Lattice="-0.8446 5.1737 -2.0442 -3.2624 1.3904 4.8689 2.6831 2.3543 4.8519" Properties=species:S:1:pos:R:3 pbc="T T T"
Nd -1.0815 6.7549 4.7975
Nd -0.3425 2.1634 2.8790
Ga 0.8060 4.0617 5.0617
Ga -0.7444 4.7216 7.3751
Ga -2.0198 3.6036 5.0698
Ga -2.2299 4.8566 2.6148
Ga -0.6796 4.1968 0.3014
Ga 0.5958 5.3148 2.6068
Rh 0.0000 0.0000 0.0000
```

Here is a relaxed structure of NdGa8Rh4 from Alexandria via LeMat-Bulk. Energies are from GGA-PBE.

## Properties
Space-group type   R-3m
Energy relative to the elements   -231.9 meV per atom

extended XYZ file:
```
13
Lattice="8.8338 1.7487 1.2478 5.7904 6.8968 1.2478 5.7904 3.4232 6.1160" Properties=species:S:1:pos:R:3 pbc="T T T"
Nd 0.0000 0.0000 0.0000
Ga 9.6440 4.0687 2.9032
Ga 8.2135 4.8557 5.1913
Ga 8.2135 6.4883 2.9032
Ga 5.3260 3.1486 2.2467
Ga 15.0886 8.9201 6.3649
Ga 12.2010 7.2130 3.4203
Ga 12.2010 5.5804 5.7084
Ga 10.7706 8.0000 5.7084
Rh 10.2073 6.0344 4.3058
Rh 7.3121 4.3228 1.2478
Rh 5.7904 5.1600 3.6819
Rh 7.3121 2.5859 3.6819
```

Here is a relaxed structure of Nd2Ga5Rh3 from Alexandria via LeMat-Bulk. Energies are from GGA-PBE.

## Properties
Space-group type   Ibam
Energy relative to the elements   -801.9 meV per atom

extended XYZ file:
```
20
Lattice="5.7727 0.0000 0.0000 2.8864 8.1638 0.3401 2.8864 1.5953 8.0137" Properties=species:S:1:pos:R:3 pbc="T T T"
Nd 2.8864 5.0265 1.2872
Nd 5.7727 2.0471 4.7678
Nd 8.6591 4.7326 7.0666
Nd 5.7727 7.7120 3.5860
Ga 5.7727 3.6090 7.4577
Ga 8.6591 7.9251 2.4155
Ga 5.7727 6.1501 0.8961
Ga 2.8864 1.8340 5.9382
Ga 7.2159 7.7520 6.6357
Ga 4.3295 2.0071 1.7181
Ga 7.2159 4.8796 4.1769
Ga 4.3295 4.8796 4.1769
Ga 1.4432 2.0071 1.7181
Ga 10.1022 7.7520 6.6357
Rh 5.7727 5.7154 6.1116
Rh 8.6591 6.9200 4.7043
Rh 5.7727 4.0437 2.2422
Rh 2.8864 2.8391 3.6495
Rh 1.4432 0.0000 0.0000
Rh 4.3295 0.0000 0.0000
```

Here is a relaxed structure of NdGa2Rh from Alexandria via LeMat-Bulk. Energies are from GGA-PBE.

## Properties
Space-group type   P4/mmm
Energy relative to the elements   -552.7 meV per atom

extended XYZ file:
```
4
Lattice="3.2760 0.0000 0.0000 0.0000 3.2760 0.0000 0.0000 0.0000 7.0520" Properties=species:S:1:pos:R:3 pbc="T T T"
Rh 1.6380 1.6380 0.0000
Nd 1.6380 1.6380 3.5260
Ga 0.0000 0.0000 5.7054
Ga 0.0000 0.0000 1.3466
```

Here is a relaxed structure of Nd3GaRh from Alexandria via LeMat-Bulk. Energies are from GGA-PBE.

## Properties
Excess energy over the best structure of this formula in the dataset   0.0 meV/atom
Space-group type   C2/m
Energy relative to the elements   -504.3 meV per atom

extended XYZ file:
```
10
Lattice="5.5724 -0.1810 2.3088 1.8829 5.2477 2.3088 -0.0034 -0.0023 9.0240" Properties=species:S:1:pos:R:3 pbc="T T T"
Nd 2.3152 1.5735 9.2931
Nd 5.1366 3.4910 4.3486
Nd 0.2110 0.1434 6.8457
Nd 7.2409 4.9210 6.7960
Nd 5.2184 3.5465 9.3533
Nd 2.2335 1.5179 4.2884
Ga 4.4435 1.4764 6.8208
Ga 3.0084 3.5881 6.8208
Rh 2.9082 3.7391 2.3088
Rh 4.5471 1.3277 2.3088
```

Here is a relaxed structure of NdGaRh3 from Alexandria via LeMat-Bulk. Energies are from GGA-PBE.

## Properties
Space-group type   Cmcm
Energy relative to the elements   -152.9 meV per atom

extended XYZ file:
```
10
Lattice="5.0205 0.0000 0.0000 0.0000 8.1790 -1.9837 0.0000 -5.4714 6.3950" Properties=species:S:1:pos:R:3 pbc="T T T"
Nd 3.7654 2.5302 1.4836
Nd 1.2551 0.1774 2.9277
Ga 3.7654 6.2758 -0.8155
Ga 1.2551 -3.5681 5.2267
Rh 3.7654 3.7815 -0.9167
Rh 3.7654 5.2369 1.4544
Rh 1.2551 -2.5292 2.9569
Rh 1.2551 -1.0738 5.3280
Rh 0.0000 0.0000 0.0000
Rh 2.5102 0.0000 0.0000
```

Here is a relaxed structure of NdGa4Rh2 from Alexandria via LeMat-Bulk. Energies are from GGA-PBE.

## Properties
Excess energy over the best structure of this formula in the dataset   0.0 meV/atom
Space-group type   Pnma
Energy relative to the elements   -683.5 meV per atom

extended XYZ file:
```
28
Lattice="4.3755 0.0000 0.0000 0.0000 6.5678 0.0000 0.0000 0.0000 17.2674" Properties=species:S:1:pos:R:3 pbc="T T T"
Rh 1.0939 4.9657 9.3084
Rh 3.2816 1.6021 7.9590
Rh 3.2816 1.6818 16.5927
Rh 1.0939 4.8860 0.6747
Rh 1.0939 0.0672 13.6000
Rh 3.2816 6.5006 3.6675
Rh 3.2816 3.3511 12.3012
Rh 1.0939 3.2167 4.9662
Nd 3.2816 0.0619 11.0310
Nd 1.0939 6.5059 6.2364
Nd 1.0939 3.3458 14.8701
Nd 3.2816 3.2220 2.3973
Ga 1.0939 2.0097 11.8712
Ga 3.2816 4.5581 5.3963
Ga 3.2816 5.2936 14.0300
Ga 1.0939 1.2742 3.2374
Ga 1.0939 4.6754 11.9153
Ga 3.2816 1.8924 5.3521
Ga 3.2816 1.3915 13.9858
Ga 1.0939 5.1763 3.2816
Ga 1.0939 1.0758 9.2153
Ga 3.2816 5.4920 8.0521
Ga 3.2816 4.3597 16.6858
Ga 1.0939 2.2081 0.5816
Ga 1.0939 3.2246 7.4676
Ga 3.2816 3.3432 9.7998
Ga 3.2816 6.5085 1.1661
Ga 1.0939 0.0593 16.1013
```

Here is a relaxed structure of Nd2Ga5Rh4 from Alexandria via LeMat-Bulk. Energies are from GGA-PBE.

## Properties
Space-group type   Fmmm
Energy relative to the elements   -710.4 meV per atom

extended XYZ file:
```
11
Lattice="-0.7554 3.0168 -4.4607 -3.2788 -1.9555 -4.0817 -6.5558 4.8982 1.1084" Properties=species:S:1:pos:R:3 pbc="T T T"
Nd -2.5815 4.0188 -3.4738
Nd -4.7296 3.8963 0.1215
Ga -0.3777 1.5084 -2.2303
Ga -1.6394 -0.9777 -2.0408
Ga -2.0171 0.5307 -4.2712
Ga -5.1061 2.2256 -2.6018
Ga -5.4838 3.7340 -4.8321
Rh -6.2796 4.4534 -2.5536
Rh -4.3104 1.5062 -4.8803
Rh -2.8615 1.2768 -1.9664
Rh -7.7284 4.6828 -5.4676
```

Here is a relaxed structure of Nd3Ga3Rh from Alexandria via LeMat-Bulk. Energies are from GGA-PBE.

## Properties
Space-group type   C2/m
Energy relative to the elements   -665.7 meV per atom

extended XYZ file:
```
14
Lattice="-2.8322 -1.4760 3.0286 -1.5438 -5.7085 -1.0275 9.0131 -5.2803 9.0537" Properties=species:S:1:pos:R:3 pbc="T T T"
Nd 3.5877 -5.9274 6.8629
Nd 1.0494 -6.5374 4.1919
Nd 1.0086 -3.0252 2.6671
Nd 3.6285 -9.4396 8.3876
Nd 6.7652 -7.1399 9.2434
Nd -2.1281 -5.3249 1.8113
Ga 1.2916 -8.3712 6.7229
Ga 3.3455 -4.0936 4.3318
Ga 6.6782 -9.9783 7.7788
Ga -2.0411 -2.4865 3.2760
Ga -1.9078 -7.4683 4.1710
Ga 6.5449 -4.9965 6.8837
Rh 1.3863 -3.7023 5.8886
Rh 3.2509 -8.7625 5.1661
```

Here is a relaxed structure of Nd2Ga12Rh from Alexandria via LeMat-Bulk. Energies are from GGA-PBE.

## Properties
Space-group type   P4/nbm
Energy relative to the elements   -449.6 meV per atom

extended XYZ file:
```
30
Lattice="-1.7955 -4.9644 3.0741 5.7389 -2.0938 -0.0293 2.7605 7.3772 13.5261" Properties=species:S:1:pos:R:3 pbc="T T T"
Nd -0.2308 -0.6999 4.8050
Nd 3.5364 0.7355 3.2533
Nd 4.9630 4.5479 10.2435
Nd 1.1958 3.1126 11.7952
Ga 4.2112 2.4559 12.4959
Ga 2.2396 5.9850 10.9735
Ga 5.4787 1.4422 14.6331
Ga 6.3754 3.9248 13.0960
Ga 0.9563 2.5557 4.6859
Ga 4.0957 -2.1705 1.9232
Ga 1.9779 -0.6268 10.2349
Ga 2.9280 -0.9734 6.2083
Ga 3.5056 4.9708 13.1113
Ga 3.1969 -4.6524 3.4602
Ga 1.9427 2.1958 8.7026
Ga 0.9588 -0.4896 7.8877
Ga 1.8042 4.8215 8.8402
Ga 2.7895 1.6523 6.3459
Ga 1.2266 -1.1227 1.9372
Ga 3.5363 -2.3435 8.3728
Ga 5.1392 -0.8666 9.7205
Ga 0.5210 1.3922 2.5526
Ga 5.1040 1.9560 8.1882
Ga 3.7759 1.2923 10.3626
Ga 2.6089 2.4882 14.6483
Ga 2.4926 -2.1369 4.0750
Ga 5.3671 -0.2017 6.8310
Ga 0.3278 -3.6045 3.4743
Rh -0.8978 -2.4822 1.5370
Rh 2.8694 -1.0469 -0.0146
```

| no. | total magnetic moment (μB per formula unit) |
| --- | --- |
| 1 | 0.00 |
| 2 | 0.00 |
| 3 | 0.00 |
| 4 | 0.00 |
| 5 | 0.00 |
| 6 | 0.00 |
| 7 | 0.00 |
| 8 | 0.34 |
| 9 | 0.00 |
| 10 | 0.00 |
| 11 | 0.00 |
| 12 | 0.00 |